Material: Ac5La2Y2
Method: DFT, PBE-GGA
State: relaxed

extended XYZ file:
```
9
Lattice="6.625 0.760 -0.242 -2.730 3.326 -3.321 0.301 -5.840 20.552" Properties=species:S:1:pos:R:3 pbc="T T T"
Ac 0.000 0.000 0.000
Ac 0.396 -0.939 7.613
Ac 3.801 -0.815 9.376
Ac 3.392 0.155 1.808
Ac 0.804 -1.910 15.181
La 3.613 -0.340 5.562
La 0.583 -1.414 11.427
Y 4.018 -1.290 13.163
Y 0.179 -0.464 3.826
```

Results
Formation energy from the elements (eV/atom): 0.04
Total magnetic moment (Bohr magnetons per cell): 0.000
N(E_F) (states/eV per atom): 1.908



Material: Ac9LaY2
Method: DFT, PBE-GGA
State: relaxed

extended XYZ file:
```
12
Lattice="5.513 0.000 0.000 0.000 5.513 0.000 0.000 0.000 16.584" Properties=species:S:1:pos:R:3 pbc="T T T"
Ac 0.000 2.756 13.779
Ac 0.000 2.756 8.292
Ac 2.756 2.756 11.032
Ac 2.756 2.756 5.553
Ac 2.756 0.000 13.779
Ac 2.756 0.000 8.292
Ac 2.756 0.000 2.805
Ac 0.000 2.756 2.805
Ac 2.756 2.756 0.000
La 0.000 0.000 0.000
Y 0.000 0.000 5.547
Y 0.000 0.000 11.037
```

Results
Formation energy from the elements (eV/atom): 0.03
Total magnetic moment (Bohr magnetons per cell): 0.001
N(E_F) (states/eV per atom): 1.632



Material: Ac12La5Y2
Method: DFT, PBE-GGA
State: relaxed

extended XYZ file:
```
19
Lattice="-3.121 4.661 -3.706 0.679 -4.691 -10.516 -9.535 -5.674 -3.150" Properties=species:S:1:pos:R:3 pbc="T T T"
Ac -6.194 -3.263 -14.234
Ac -4.762 -3.296 -7.044
Ac -8.033 -1.454 -5.931
Ac -7.896 -9.181 -12.176
Ac -4.081 3.477 -5.195
Ac -7.215 -2.408 -10.327
Ac -11.107 -3.736 -10.691
Ac -3.944 -4.250 -11.440
Ac -5.784 -2.441 -3.137
Ac -0.871 -1.968 -6.680
Ac -2.938 -0.963 -9.606
Ac -9.040 -4.741 -7.766
La -1.561 2.331 -1.853
La -3.249 -0.146 -4.525
La -8.728 -5.558 -12.846
La -5.469 0.719 -7.488
La -6.509 -6.423 -9.883
Y -7.105 -5.440 -4.903
Y -1.752 -4.925 -8.763
```

Results
Formation energy from the elements (eV/atom): 0.10
Energy relative to the lowest polymorph listed for this composition (eV per atom): 0.000
Total magnetic moment (Bohr magnetons per cell): 0.000
N(E_F) (states/eV per atom): 1.607



Material: Ac8La6Y
Method: DFT, PBE-GGA
State: relaxed

extended XYZ file:
```
15
Lattice="-5.467 -4.592 0.894 6.403 -6.865 3.901 -4.619 6.688 6.106" Properties=species:S:1:pos:R:3 pbc="T T T"
Ac -3.436 -4.362 7.600
Ac -3.692 3.926 4.484
Ac -0.246 -0.406 3.301
Ac -0.849 1.352 8.647
Ac -5.248 -1.443 6.074
Ac 0.009 -8.695 6.416
Ac 1.565 -3.325 4.826
Ac -2.834 -6.120 2.253
La 0.726 -6.990 3.485
La -3.600 0.386 2.932
La -2.353 -3.210 4.072
La -4.409 2.222 7.415
La -0.083 -5.155 7.968
La -1.329 -1.559 6.828
Y -2.733 -2.296 0.447
```

Results
Formation energy from the elements (eV/atom): 0.21
Total magnetic moment (Bohr magnetons per cell): 0.000
N(E_F) (states/eV per atom): 1.387



Material: Ac6La5Y
Method: DFT, PBE-GGA
State: relaxed

extended XYZ file:
```
12
Lattice="-3.757 -2.756 2.912 7.796 -5.967 4.412 -1.295 9.801 2.415" Properties=species:S:1:pos:R:3 pbc="T T T"
La 0.484 3.629 4.054
La 4.381 0.648 6.262
La 3.898 -2.984 2.206
La 2.261 -2.551 5.685
La -1.636 0.430 3.476
Ac 0.059 -2.861 2.553
Ac 0.566 0.754 6.622
Ac 2.178 0.324 3.116
Ac -3.355 3.755 4.405
Ac 6.099 -2.677 5.333
Ac 2.685 3.939 7.185
Y 0.000 0.000 0.000
```

Results
Formation energy from the elements (eV/atom): 0.02
Total magnetic moment (Bohr magnetons per cell): 0.000
N(E_F) (states/eV per atom): 1.809



Material: AcLaY2
Method: DFT, PBE-GGA
State: relaxed

extended XYZ file:
```
4
Lattice="5.056 0.000 0.000 0.000 5.356 0.000 0.000 0.000 5.356" Properties=species:S:1:pos:R:3 pbc="T T T"
Ac 2.528 0.000 0.000
Y 0.000 2.678 0.000
Y 0.000 0.000 2.678
La 2.528 2.678 2.678
```

Results
Formation energy from the elements (eV/atom): 0.03
Energy relative to the lowest polymorph listed for this composition (eV per atom): 0.003
Total magnetic moment (Bohr magnetons per cell): 0.000
N(E_F) (states/eV per atom): 1.516